i:
The following is a GGA-PBE calculation of crystalline P2HPtO at its relaxed geometry, from Alexandria via LeMat-Bulk. Values from VASP.

```
&SYSTEM
  ibrav = 0, nat = 5, ntyp = 4
/
ATOMIC_SPECIES
P 30.97 P.upf
H 1.01 H.upf
Pt 195.08 Pt.upf
O 16.00 O.upf
ATOMIC_POSITIONS angstrom
P 0.000 1.785 0.000
P 1.785 0.000 0.000
H 0.000 0.000 0.000
Pt 1.785 1.785 2.124
O 0.000 0.000 2.124
CELL_PARAMETERS angstrom
3.571 0.000 0.000
0.000 3.571 0.000
0.000 0.000 4.249
```

Total magnetization   0.000 μB per cell
Symmetry   P4/mmm (123)

***

ii:
The following is a GGA-PBE calculation of crystalline P2HPtO at its relaxed geometry, from Alexandria via LeMat-Bulk. Values from VASP.

```
&SYSTEM
  ibrav = 0, nat = 5, ntyp = 4
/
ATOMIC_SPECIES
P 30.97 P.upf
H 1.01 H.upf
Pt 195.08 Pt.upf
O 16.00 O.upf
ATOMIC_POSITIONS angstrom
P 0.000 2.402 0.000
P 2.402 0.000 0.000
H 0.000 0.000 1.909
Pt 2.402 2.402 0.000
O 2.402 2.402 1.909
CELL_PARAMETERS angstrom
4.804 0.000 0.000
0.000 4.804 0.000
0.000 0.000 3.818
```

Total magnetization   0.860 μB per cell
Symmetry   P4/mmm (123)

***

Pick i: it beats the second-best structure by 39.0 kJ/mol of atoms.

***

i:
The following is a GGA-PBE calculation of crystalline RbPHO at its relaxed geometry, from Alexandria via LeMat-Bulk. Values from VASP.

```
&SYSTEM
  ibrav = 0, nat = 4, ntyp = 4
/
ATOMIC_SPECIES
Rb 85.47 Rb.upf
P 30.97 P.upf
H 1.01 H.upf
O 16.00 O.upf
ATOMIC_POSITIONS angstrom
Rb 0.000 0.000 0.000
P 2.506 1.371 2.488
H 3.812 0.721 2.717
O 2.375 1.384 0.916
CELL_PARAMETERS angstrom
4.726 0.000 0.000
2.307 4.146 0.000
0.715 -0.346 5.133
```

Total magnetization   1.004 μB per cell
Symmetry   P1 (1)

***

ii:
The following is a GGA-PBE calculation of crystalline RbPHO at its relaxed geometry, from Alexandria via LeMat-Bulk. Values from VASP.

```
&SYSTEM
  ibrav = 0, nat = 4, ntyp = 4
/
ATOMIC_SPECIES
Rb 85.47 Rb.upf
P 30.97 P.upf
H 1.01 H.upf
O 16.00 O.upf
ATOMIC_POSITIONS angstrom
Rb 0.000 0.000 0.000
P 2.083 1.732 2.361
H 0.000 1.732 3.252
O 0.974 1.732 3.650
CELL_PARAMETERS angstrom
3.984 0.000 0.000
0.000 3.465 0.000
-1.292 0.000 5.334
```

Total magnetization   0.236 μB per cell
Symmetry   Pm (6)

***

Pick i: it beats the second-best structure by 16.4 kJ/mol of atoms.